(1)
{"formula": "TiAgTe2Se", "functional": "PBE-GGA", "state": "relaxed", "dos_ef_per_ev_fu": 11.487, "e_tot_ev_per_atom": -3.427, "raw_formation_energy_ev_per_atom": 0.676, "cell": [[-2.690, 4.824, -0.649], [-3.112, -1.270, 3.452], [3.285, 2.347, 3.825]], "species": ["Te", "Te", "Se", "Ag", "Ti"], "fractional_positions": [[0.000, 0.000, 0.500], [0.500, 0.000, 0.000], [0.000, 0.000, 0.000], [0.000, 0.500, 0.000], [0.500, 0.500, 0.500]]}

=====

(2)
{"formula": "Tl2AgTeSe4", "functional": "PBE-GGA", "state": "relaxed", "dos_ef_per_ev_fu": 2.205, "e_tot_ev_per_atom": -3.245, "raw_formation_energy_ev_per_atom": -0.162, "cell": [[8.459, -0.016, -0.092], [-0.022, 8.459, -0.092], [-4.234, -4.237, 6.061]], "species": ["Tl", "Tl", "Tl", "Tl", "Ag", "Ag", "Te", "Te", "Se", "Se", "Se", "Se", "Se", "Se", "Se", "Se"], "fractional_positions": [[0.500, 0.000, 0.000], [0.500, 0.000, 0.500], [0.000, 0.000, 0.500], [0.500, 0.500, 0.000], [0.000, 0.500, 0.000], [0.000, 0.500, 0.500], [0.500, 0.500, 0.500], [0.000, 0.000, 0.000], [0.218, 0.741, 0.980], [0.759, 0.282, 0.520], [0.241, 0.718, 0.480], [0.782, 0.259, 0.020], [0.762, 0.738, 0.980], [0.762, 0.738, 0.520], [0.238, 0.262, 0.480], [0.238, 0.262, 0.020]]}

=====

(3)
{"formula": "Tl2Ag2Te2Se", "functional": "PBE-GGA", "state": "relaxed", "dos_ef_per_ev_fu": 5.384, "e_tot_ev_per_atom": -3.012, "raw_formation_energy_ev_per_atom": -0.126, "cell": [[4.217, 0.000, 0.000], [2.109, 6.979, 0.365], [2.109, 2.979, 7.266]], "species": ["Tl", "Tl", "Ag", "Ag", "Te", "Te", "Se"], "fractional_positions": [[0.575, 0.163, 0.686], [0.425, 0.837, 0.314], [0.207, 0.664, 0.921], [0.793, 0.336, 0.079], [0.175, 0.343, 0.308], [0.825, 0.657, 0.692], [0.000, 0.000, 0.000]]}

=====

(4)
{"formula": "TlAg2TeSe", "functional": "PBE-GGA", "state": "relaxed", "dos_ef_per_ev_fu": 3.174, "e_tot_ev_per_atom": -3.072, "raw_formation_energy_ev_per_atom": -0.133, "cell": [[4.324, 0.000, 0.000], [0.000, 7.899, 0.387], [0.000, -2.550, 8.162]], "species": ["Tl", "Tl", "Ag", "Ag", "Ag", "Ag", "Te", "Te", "Se", "Se"], "fractional_positions": [[0.250, 0.924, 0.198], [0.750, 0.076, 0.802], [0.750, 0.501, 0.627], [0.250, 0.499, 0.373], [0.750, 0.492, 0.125], [0.250, 0.508, 0.875], [0.250, 0.256, 0.570], [0.750, 0.744, 0.430], [0.250, 0.275, 0.069], [0.750, 0.725, 0.931]]}

=====

(5)
{"formula": "Tl2Ag2TeSe4", "functional": "PBE-GGA", "state": "relaxed", "dos_ef_per_ev_fu": 1.164, "e_tot_ev_per_atom": -3.228, "raw_formation_energy_ev_per_atom": -0.171, "cell": [[-3.324, -2.051, 1.649], [6.575, -3.504, 3.444], [-2.160, 6.525, 3.760]], "species": ["Tl", "Tl", "Ag", "Ag", "Te", "Se", "Se", "Se", "Se"], "fractional_positions": [[0.859, 0.719, 0.424], [0.141, 0.281, 0.576], [0.314, 0.628, 0.023], [0.686, 0.372, 0.977], [0.000, 0.000, 0.000], [0.805, 0.610, 0.791], [0.195, 0.390, 0.209], [0.493, 0.985, 0.242], [0.507, 0.015, 0.758]]}

=====

(6)
{"formula": "TlAg2TeSe4", "functional": "PBE-GGA", "state": "relaxed", "dos_ef_per_ev_fu": 6.236, "e_tot_ev_per_atom": -3.158, "raw_formation_energy_ev_per_atom": -0.014, "cell": [[-3.086, -6.340, -1.208], [3.126, -5.817, 1.362], [-4.361, -2.743, 4.351]], "species": ["Tl", "Ag", "Ag", "Te", "Se", "Se", "Se", "Se"], "fractional_positions": [[0.000, 0.000, 0.000], [0.500, 0.684, 0.316], [0.500, 0.316, 0.684], [0.000, 0.500, 0.500], [0.572, 0.543, 0.883], [0.428, 0.117, 0.457], [0.997, 0.457, 0.117], [0.003, 0.883, 0.543]]}

=====

(7)
{"formula": "Tl3AgTe2Se6", "functional": "PBE-GGA", "state": "relaxed", "dos_ef_per_ev_fu": 1.216, "e_tot_ev_per_atom": -3.275, "raw_formation_energy_ev_per_atom": -0.180, "cell": [[7.238, 0.027, 0.021], [-3.594, 6.282, 0.021], [-1.194, -2.068, 7.418]], "species": ["Tl", "Tl", "Tl", "Ag", "Te", "Te", "Se", "Se", "Se", "Se", "Se", "Se"], "fractional_positions": [[0.164, 0.836, 0.500], [0.836, 0.164, 0.500], [0.500, 0.500, 0.500], [0.000, 0.000, 0.000], [0.334, 0.666, 0.000], [0.666, 0.334, 0.000], [0.929, 0.591, 0.787], [0.732, 0.732, 0.201], [0.071, 0.409, 0.213], [0.591, 0.929, 0.787], [0.268, 0.268, 0.799], [0.409, 0.071, 0.213]]}

=====

(8)
{"formula": "Tl4AgTe3Se8", "functional": "PBE-GGA", "state": "relaxed", "dos_ef_per_ev_fu": 4.127, "e_tot_ev_per_atom": -3.251, "raw_formation_energy_ev_per_atom": -0.150, "cell": [[8.292, 0.000, 0.000], [0.000, 8.806, -0.032], [-4.146, -4.424, 6.263]], "species": ["Tl", "Tl", "Tl", "Tl", "Ag", "Te", "Te", "Te", "Se", "Se", "Se", "Se", "Se", "Se", "Se", "Se"], "fractional_positions": [[0.500, 0.000, 0.000], [0.500, 0.000, 0.500], [0.000, 0.000, 0.000], [0.000, 0.000, 0.500], [0.000, 0.500, 0.000], [0.500, 0.500, 0.000], [0.500, 0.500, 0.500], [0.000, 0.500, 0.500], [0.238, 0.705, 0.977], [0.240, 0.713, 0.479], [0.248, 0.280, 0.496], [0.739, 0.705, 0.977], [0.261, 0.295, 0.023], [0.752, 0.720, 0.504], [0.760, 0.287, 0.521], [0.762, 0.295, 0.023]]}

=====

(9)
{"formula": "Tl2AgTe2Se6", "functional": "PBE-GGA", "state": "relaxed", "dos_ef_per_ev_fu": 6.514, "e_tot_ev_per_atom": -3.275, "raw_formation_energy_ev_per_atom": -0.113, "cell": [[7.084, -0.009, 0.070], [-3.509, 6.154, 0.070], [-1.270, -2.182, 7.258]], "species": ["Tl", "Tl", "Ag", "Te", "Te", "Se", "Se", "Se", "Se", "Se", "Se"], "fractional_positions": [[0.832, 0.168, 0.000], [0.168, 0.832, 0.000], [0.000, 0.000, 0.500], [0.333, 0.667, 0.500], [0.667, 0.333, 0.500], [0.735, 0.735, 0.714], [0.076, 0.405, 0.717], [0.265, 0.265, 0.286], [0.405, 0.076, 0.717], [0.924, 0.595, 0.283], [0.595, 0.924, 0.283]]}

=====

(10)
{"formula": "Tm2AgTeSe3", "functional": "PBE-GGA", "state": "relaxed", "dos_ef_per_ev_fu": 3.401, "e_tot_ev_per_atom": -4.831, "raw_formation_energy_ev_per_atom": -1.204, "cell": [[-4.313, -4.426, 5.581], [4.018, -4.890, 5.411], [0.280, 2.087, 8.056]], "species": ["Tm", "Tm", "Tm", "Tm", "Ag", "Ag", "Te", "Te", "Se", "Se", "Se", "Se", "Se", "Se"], "fractional_positions": [[0.000, 0.000, 0.000], [0.500, 0.000, 0.000], [0.000, 0.500, 0.000], [0.000, 0.000, 0.500], [0.394, 0.394, 0.394], [0.606, 0.606, 0.606], [0.743, 0.743, 0.743], [0.257, 0.257, 0.257], [0.219, 0.759, 0.759], [0.759, 0.219, 0.759], [0.759, 0.759, 0.219], [0.781, 0.241, 0.241], [0.241, 0.781, 0.241], [0.241, 0.241, 0.781]]}

=====

(11)
{"formula": "TmAgTeSe", "functional": "PBE-GGA", "state": "relaxed", "e_tot_ev_per_atom": -4.441, "raw_formation_energy_ev_per_atom": -0.953, "cell": [[4.680, 0.000, 0.000], [-2.340, 4.053, 0.000], [0.000, 0.000, 6.314]], "species": ["Tm", "Ag", "Te", "Se"], "fractional_positions": [[0.333, 0.667, 0.639], [0.667, 0.333, 0.966], [0.333, 0.667, 0.104], [0.667, 0.333, 0.541]]}

=====

(12)
{"formula": "Tm6AgTe3Se2", "functional": "PBE-GGA", "state": "relaxed", "dos_ef_per_ev_fu": 4.715, "e_tot_ev_per_atom": -5.047, "raw_formation_energy_ev_per_atom": -1.208, "cell": [[7.249, 0.001, 0.001], [-3.622, 6.279, 0.001], [-1.209, -2.093, 6.922]], "species": ["Tm", "Tm", "Tm", "Tm", "Tm", "Tm", "Ag", "Te", "Te", "Te", "Se", "Se"], "fractional_positions": [[0.927, 0.598, 0.778], [0.747, 0.747, 0.226], [0.073, 0.402, 0.222], [0.598, 0.927, 0.778], [0.253, 0.253, 0.774], [0.402, 0.073, 0.222], [0.000, 0.000, 0.000], [0.171, 0.829, 0.500], [0.829, 0.171, 0.500], [0.500, 0.500, 0.500], [0.335, 0.665, 0.000], [0.665, 0.335, 0.000]]}

=====

(13)
{"formula": "U2AgTe2Se2", "functional": "PBE-GGA", "state": "relaxed", "dos_ef_per_ev_fu": 13.299, "e_tot_ev_per_atom": -6.181, "raw_formation_energy_ev_per_atom": -0.655, "cell": [[-3.774, -0.098, -2.730], [2.322, -3.936, 0.907], [-7.347, -1.977, 10.229]], "species": ["U", "U", "Ag", "Te", "Te", "Se", "Se"], "fractional_positions": [[0.667, 0.333, 0.344], [0.333, 0.667, 0.656], [0.000, 0.000, 0.000], [0.000, 0.000, 0.792], [0.000, 0.000, 0.208], [0.667, 0.333, 0.579], [0.333, 0.667, 0.421]]}

=====

(14)
{"formula": "Ag2TeWSe", "functional": "PBE-GGA", "state": "relaxed", "dos_ef_per_ev_fu": 5.638, "e_tot_ev_per_atom": -4.092, "raw_formation_energy_ev_per_atom": 0.965, "cell": [[5.345, 0.000, 0.000], [0.000, 4.640, 0.000], [0.000, 0.000, 5.345]], "species": ["Te", "Se", "Ag", "Ag", "W"], "fractional_positions": [[0.500, 0.500, 0.500], [0.000, 0.500, 0.000], [0.000, 0.000, 0.500], [0.500, 0.000, 0.000], [0.000, 0.000, 0.000]]}

=====

(15)
{"formula": "Y4AgTeSe2", "functional": "PBE-GGA", "state": "relaxed", "dos_ef_per_ev_fu": 5.048, "e_tot_ev_per_atom": -6.114, "raw_formation_energy_ev_per_atom": -1.261, "cell": [[4.078, 0.000, 0.000], [0.000, 7.455, -0.299], [0.000, 2.475, 6.769]], "species": ["Y", "Y", "Y", "Y", "Ag", "Te", "Se", "Se"], "fractional_positions": [[0.000, 0.770, 0.735], [0.000, 0.230, 0.265], [0.500, 0.762, 0.252], [0.500, 0.238, 0.748], [0.000, 0.500, 0.500], [0.500, 0.500, 0.000], [0.000, 0.000, 0.000], [0.500, 0.000, 0.500]]}

=====

(16)
{"formula": "Y6AgTe3Se2", "functional": "PBE-GGA", "state": "relaxed", "dos_ef_per_ev_fu": 5.645, "e_tot_ev_per_atom": -6.144, "raw_formation_energy_ev_per_atom": -1.308, "cell": [[-2.961, 3.950, 5.443], [-1.075, -7.263, -0.276], [7.109, 0.110, 2.128]], "species": ["Y", "Y", "Y", "Y", "Y", "Y", "Ag", "Te", "Te", "Te", "Se", "Se"], "fractional_positions": [[0.925, 0.590, 0.773], [0.741, 0.741, 0.227], [0.075, 0.410, 0.227], [0.590, 0.925, 0.773], [0.259, 0.259, 0.773], [0.410, 0.075, 0.227], [0.000, 0.000, 0.000], [0.168, 0.832, 0.500], [0.832, 0.168, 0.500], [0.500, 0.500, 0.500], [0.334, 0.666, 0.000], [0.666, 0.334, 0.000]]}

=====

(17)
{"formula": "YAgTeSe", "functional": "PBE-GGA", "state": "relaxed", "dos_ef_per_ev_fu": 0.000, "e_tot_ev_per_atom": -5.041, "raw_formation_energy_ev_per_atom": -1.055, "cell": [[-0.120, 2.448, 3.936], [-0.771, -2.141, 4.039], [11.395, -1.526, 4.027]], "species": ["Y", "Y", "Ag", "Ag", "Te", "Te", "Se", "Se"], "fractional_positions": [[0.612, 0.612, 0.163], [0.388, 0.388, 0.837], [0.810, 0.810, 0.570], [0.190, 0.190, 0.430], [0.109, 0.109, 0.672], [0.891, 0.891, 0.328], [0.696, 0.696, 0.911], [0.304, 0.304, 0.089]]}

=====

(18)
{"formula": "Th2AgSe", "functional": "PBE-GGA", "state": "relaxed", "polymorph_energy_mev_per_atom": 38, "dos_ef_per_ev_fu": 4.195, "e_tot_ev_per_atom": -5.923, "raw_formation_energy_ev_per_atom": -0.629, "cell": [[-1.158, -1.209, -3.622], [-1.681, -3.589, -0.462], [-8.251, 1.663, -0.115]], "species": ["Th", "Th", "Ag", "Se"], "fractional_positions": [[0.078, 0.078, 0.767], [0.256, 0.256, 0.232], [0.499, 0.499, 0.502], [0.667, 0.667, 0.999]]}

=====

(19)
{"formula": "ThAgSe3", "functional": "PBE-GGA", "state": "relaxed", "dos_ef_per_ev_fu": 3.514, "e_tot_ev_per_atom": -5.114, "raw_formation_energy_ev_per_atom": -0.969, "cell": [[4.182, 0.000, 0.000], [0.000, 8.902, 0.000], [0.000, 0.000, 7.525]], "species": ["Th", "Th", "Ag", "Ag", "Se", "Se", "Se", "Se", "Se", "Se"], "fractional_positions": [[0.000, 0.614, 0.234], [0.000, 0.386, 0.734], [0.500, 0.112, 0.421], [0.500, 0.888, 0.921], [0.500, 0.556, 0.526], [0.500, 0.149, 0.769], [0.000, 0.286, 0.355], [0.500, 0.444, 0.026], [0.000, 0.714, 0.855], [0.500, 0.851, 0.269]]}

=====

(20)
{"formula": "Th2AgSe", "functional": "PBE-GGA", "state": "relaxed", "polymorph_energy_mev_per_atom": 0, "dos_ef_per_ev_fu": 4.452, "e_tot_ev_per_atom": -5.961, "raw_formation_energy_ev_per_atom": -0.667, "cell": [[-0.356, 3.690, 2.078], [-2.467, 3.089, -1.561], [-6.530, -0.347, 3.845]], "species": ["Se", "Ag", "Th", "Th"], "fractional_positions": [[0.000, 0.000, 0.000], [0.500, 0.500, 0.500], [0.254, 0.254, 0.239], [0.746, 0.746, 0.761]]}